No. 1
Here is a geometry-optimized Ta4TiW5 structure from the Alexandria database. Energies are from PBE-GGA.

Results
formation enthalpy at 0 K: -0.06 eV per atom

abc: 3.233 3.233 16.129
angles: 90.00 90.00 90.00
Fractional positions:
W1 0.500 0.500 0.903
Ta1 0.000 0.000 0.601
Ta2 0.000 0.000 0.197
W2 0.500 0.500 0.500
Ta3 0.000 0.000 0.399
Ta4 0.000 0.000 0.803
Ti1 0.000 0.000 0.000
W3 0.500 0.500 0.298
W4 0.500 0.500 0.097
W5 0.500 0.500 0.702

=====

No. 2
Here is a geometry-optimized Gd3PuC structure from the Alexandria database. Energies are from PBE-GGA.

Results
formation enthalpy at 0 K: 0.15 eV per atom

abc: 5.047 5.047 5.047
angles: 90.00 90.00 90.00
Fractional positions:
Gd1 0.000 0.000 0.500
Gd2 0.000 0.500 0.000
Pu1 0.500 0.500 0.500
C1 0.000 0.000 0.000
Gd3 0.500 0.000 0.000

=====

No. 3
Here is a geometry-optimized Ta5Mo3 structure from the Alexandria database. Energies are from PBE-GGA.

Results
distance to the lowest polymorph of the same formula: 90 meV/atom
formation enthalpy at 0 K: -0.08 eV per atom

abc: 5.594 5.594 4.644
angles: 90.00 90.00 108.47
Fractional positions:
Mo1 0.503 0.503 0.000
Ta1 0.250 0.750 0.500
Mo2 0.997 0.997 0.000
Mo3 0.750 0.750 0.500
Ta2 0.498 0.002 0.000
Ta3 0.750 0.250 0.500
Ta4 0.250 0.250 0.500
Ta5 0.002 0.498 0.000

=====

No. 4
Here is a geometry-optimized PuVFe2 structure from the Alexandria database. Energies are from PBE-GGA.

Results
distance to the lowest polymorph of the same formula: 0 meV/atom
formation enthalpy at 0 K: 0.03 eV per atom

abc: 2.936 2.936 6.838
angles: 90.00 90.00 90.00
Fractional positions:
Pu1 0.500 0.500 0.500
Fe1 0.000 0.000 0.199
Fe2 0.000 0.000 0.801
V1 0.500 0.500 0.000

=====

No. 5
Here is a geometry-optimized BeFe structure from the Alexandria database. Energies are from PBE-GGA.

Results
formation enthalpy at 0 K: 1.47 eV per atom

abc: 5.949 5.949 5.949
angles: 90.00 90.00 90.00
Fractional positions:
Fe1 0.250 0.500 0.000
Be1 0.750 0.000 0.500
Be2 0.250 0.000 0.500
Fe2 0.500 0.000 0.750
Fe3 0.750 0.500 0.000
Be3 0.000 0.500 0.250
Fe4 0.500 0.000 0.250
Be4 0.500 0.750 0.000
Be5 0.000 0.500 0.750
Fe5 0.000 0.250 0.500
Be6 0.500 0.250 0.000
Fe6 0.000 0.750 0.500

=====

No. 6
Here is a geometry-optimized NaSmHo4Se8 structure from the Alexandria database. Energies are from PBE-GGA.

Results
uncorrected formation energy: -1.763 eV per atom

abc: 8.431 8.431 8.499
angles: 60.27 60.27 60.00
Fractional positions:
Se1 0.779 0.244 0.733
Na1 0.373 0.373 0.880
Se2 0.239 0.239 0.282
Sm1 0.005 0.005 0.986
Ho1 0.626 0.626 0.123
Se3 0.758 0.758 0.725
Ho2 0.005 0.485 0.505
Se4 0.754 0.754 0.263
Se5 0.244 0.779 0.733
Ho3 0.485 0.005 0.505
Se6 0.228 0.754 0.263
Ho4 0.005 0.005 0.505
Se7 0.244 0.244 0.733
Se8 0.754 0.228 0.263

=====

| no. | M_tot (μB per formula unit) | density of states at the Fermi level (states/eV/atom) | calculated density (g/cm³) |
| --- | --- | --- | --- |
| 1 | 0.00 | 0.9640 | 16.66 |
| 2 | 14.14 | 3.6368 | 9.40 |
| 3 | 0.00 | 1.4117 | 14.37 |
| 4 | 2.77 | 1.8301 | 11.46 |
| 5 | 2.19 | 0.7630 | 3.07 |
| 6 | 0.00 | 0.0000 | 5.67 |